(1)
Here is an optimized crystal structure of HfReAg from OQMD. Energies are from PBE-GGA.

Calculated values
mass density	12.4	g/cm³
calculated volume	63	Å³/f.u.
magnetization	0.3	μB/cell

Unit cell a=4.469 b=4.469 c=4.469 alpha=60.00 beta=60.00 gamma=60.00
Sites, in units of the cell vectors:
Hf: 0.000 0.000 0.000
Re: 0.750 0.750 0.750
Ag: 0.250 0.250 0.250

---

(2)
Here is an optimized crystal structure of HfReAg from OQMD. Energies are from PBE-GGA.

Calculated values
mass density	12.4	g/cm³
calculated volume	63	Å³/f.u.
magnetization	1.6	μB/cell

Unit cell a=4.474 b=4.474 c=4.474 alpha=60.00 beta=60.00 gamma=60.00
Sites, in units of the cell vectors:
Ag: 0.250 0.250 0.250
Hf: 0.750 0.750 0.750
Re: 0.000 0.000 0.000

---

What should be chosen as the least stable of them? Choose (1).

---

(1)
Here is an optimized crystal structure of HfTlAgTeSeS from OQMD. Energies are from PBE-GGA.

Calculated values
mass density	7.4	g/cm³
calculated volume	164	Å³/f.u.
magnetization	0.0	μB/cell

Unit cell a=8.239 b=4.015 c=10.480 alpha=90.00 beta=109.08 gamma=90.00
Sites, in units of the cell vectors:
S: 0.757 0.750 0.081
S: 0.243 0.250 0.919
Te: 0.934 0.750 0.630
Te: 0.066 0.250 0.370
Tl: 0.768 0.250 0.817
Tl: 0.232 0.750 0.183
Hf: 0.787 0.750 0.322
Hf: 0.213 0.250 0.678
Se: 0.411 0.750 0.639
Se: 0.589 0.250 0.361
Ag: 0.438 0.750 0.896
Ag: 0.562 0.250 0.104

---

(2)
Here is an optimized crystal structure of HfTlAgTeSeS from OQMD. Energies are from PBE-GGA.

Calculated values
mass density	7.5	g/cm³
calculated volume	161	Å³/f.u.
magnetization	0.0	μB/cell

Unit cell a=8.349 b=3.933 c=10.463 alpha=90.00 beta=110.06 gamma=90.00
Sites, in units of the cell vectors:
S: 0.877 0.750 0.642
S: 0.123 0.250 0.358
Te: 0.294 0.750 0.063
Te: 0.706 0.250 0.937
Hf: 0.313 0.750 0.345
Hf: 0.687 0.250 0.655
Ag: 0.069 0.250 0.106
Ag: 0.931 0.750 0.894
Se: 0.559 0.250 0.379
Se: 0.441 0.750 0.621
Tl: 0.757 0.750 0.225
Tl: 0.243 0.250 0.775

---

What should be chosen as the least stable of them? Choose (1).

---

(1)
Here is an optimized crystal structure of HfTlAgSeS2 from OQMD. Energies are from PBE-GGA.

Calculated values
mass density	7.2	g/cm³
calculated volume	146	Å³/f.u.
magnetization	0.0	μB/cell

Unit cell a=8.095 b=3.853 c=9.973 alpha=90.00 beta=110.37 gamma=90.00
Sites, in units of the cell vectors:
Hf: 0.184 0.250 0.656
Hf: 0.816 0.750 0.344
Tl: 0.232 0.750 0.199
Tl: 0.768 0.250 0.801
S: 0.769 0.750 0.082
S: 0.959 0.750 0.625
S: 0.231 0.250 0.918
S: 0.041 0.250 0.375
Se: 0.405 0.750 0.622
Se: 0.595 0.250 0.378
Ag: 0.437 0.750 0.890
Ag: 0.563 0.250 0.110

---

(2)
Here is an optimized crystal structure of HfTlAgSeS2 from OQMD. Energies are from PBE-GGA.

Calculated values
mass density	7.1	g/cm³
calculated volume	149	Å³/f.u.
magnetization	0.0	μB/cell

Unit cell a=8.080 b=3.860 c=10.100 alpha=90.00 beta=109.18 gamma=90.00
Sites, in units of the cell vectors:
S: 0.393 0.750 0.633
S: 0.607 0.250 0.367
S: 0.235 0.250 0.918
S: 0.765 0.750 0.082
Hf: 0.201 0.250 0.664
Hf: 0.799 0.750 0.336
Tl: 0.770 0.250 0.802
Tl: 0.230 0.750 0.198
Se: 0.055 0.250 0.372
Se: 0.945 0.750 0.628
Ag: 0.558 0.250 0.109
Ag: 0.442 0.750 0.891

---

What should be chosen as the least stable of them? Choose (2).